(1)
Density functional theory data (PBE) for Ga2Co2Tc after structural relaxation.

Calculated values
* crystal system: tetragonal
* calculated density: 9.2 g cm⁻³
* energy above the lowest structure with this stoichiometry: 82 meV/atom
* space-group type: P4/mbm

a = 6.948 Å, b = 6.948 Å, c = 2.659 Å
α = 90.00°, β = 90.00°, γ = 90.00°
Each line ends with the local moment (μB).
Fractional positions:
1 Ga 0.174 0.674 0.500  -0.02
2 Ga 0.826 0.326 0.500  -0.02
3 Ga 0.326 0.174 0.500  -0.02
4 Ga 0.674 0.826 0.500  -0.02
5 Co 0.623 0.123 0.000  0.41
6 Co 0.877 0.623 0.000  0.42
7 Co 0.377 0.877 0.000  0.41
8 Co 0.123 0.377 0.000  0.42
9 Tc 0.000 0.000 0.000  0.40
10 Tc 0.500 0.500 0.000  0.40

---

(2)
Density functional theory data (PBE) for Ga2CoTc after structural relaxation.

Calculated values
* crystal system: cubic
* calculated density: 9.2 g cm⁻³
* energy above the lowest structure with this stoichiometry: 37 meV/atom
* space-group type: Fm-3m

a = 4.224 Å, b = 4.224 Å, c = 4.224 Å
α = 60.00°, β = 60.00°, γ = 60.00°
Each line ends with the local moment (μB).
Fractional positions:
1 Ga 0.750 0.750 0.750  -0.01
2 Ga 0.250 0.250 0.250  -0.01
3 Tc 0.500 0.500 0.500  0.11
4 Co 0.000 0.000 0.000  0.45

---

Results for raw total energy: -6.100 -5.985 (in eV/atom, following the order of the records).